Entry 1:
The following is a PBE-GGA calculation of a relaxed structure of DyHo3Er2Te6, from the Alexandria database.

abc: 4.3125 8.7040 9.6863
angles: 103.09 102.86 90.00
Fractional coordinates of all 12 atoms:
Te (0.9994, 0.7485, 0.9988)
Te (0.6678, 0.0842, 0.3356)
Te (0.3324, 0.4181, 0.6648)
Te (0.0006, 0.2515, 0.0012)
Ho (0.1650, 0.8326, 0.3301)
Dy (0.5000, 0.0000, 0.0000)
Er (0.8345, 0.6689, 0.6690)
Er (0.1655, 0.3311, 0.3310)
Ho (0.8350, 0.1674, 0.6699)
Te (0.6676, 0.5819, 0.3352)
Ho (0.5000, 0.5000, 0.0000)
Te (0.3322, 0.9158, 0.6644)

Calculated values
Mass density, Mg/m³: 8.46
Uncorrected formation energy, kJ/mol of atoms: -119.5
D(E_F), states/eV per cell: 6.324

Entry 2:
The following is a PBE-GGA calculation of a relaxed structure of LaY3Be, from the Alexandria database.

abc: 5.3629 5.3629 5.3629
angles: 90.00 90.00 90.00
Fractional coordinates of all 5 atoms:
La (0.5000, 0.5000, 0.5000)
Y (0.0000, 0.0000, 0.5000)
Be (0.0000, 0.0000, 0.0000)
Y (0.0000, 0.5000, 0.0000)
Y (0.5000, 0.0000, 0.0000)

Calculated values
Energy relative to the lowest polymorph listed for this composition, eV/atom: 0.0000
Mass density, Mg/m³: 4.46
D(E_F), states/eV per cell: 6.554

Entry 3:
The following is a PBE-GGA calculation of a relaxed structure of Mg2ScInS, from the Alexandria database.

abc: 5.0842 5.5516 5.0842
angles: 90.00 90.00 90.00
Fractional coordinates of all 5 atoms:
Mg (0.0000, 0.0000, 0.5000)
Mg (0.5000, 0.0000, 0.0000)
S (0.5000, 0.5000, 0.5000)
Sc (0.0000, 0.5000, 0.0000)
In (0.0000, 0.0000, 0.0000)

Calculated values
Mass density, Mg/m³: 2.78
Uncorrected formation energy, kJ/mol of atoms: 23.6
D(E_F), states/eV per cell: 0.972

Entry 4:
The following is a PBE-GGA calculation of a relaxed structure of Pm2NdDy4, from the Alexandria database.

abc: 3.5583 8.8344 8.6234
angles: 119.02 101.92 90.00
Fractional coordinates of all 7 atoms:
Dy (0.6451, 0.8430, 0.2914)
Dy (0.7066, 0.2935, 0.4132)
Dy (0.3549, 0.1570, 0.7086)
Dy (0.2934, 0.7065, 0.5868)
Pm (0.0688, 0.4281, 0.1384)
Nd (0.0000, 0.0000, 0.0000)
Pm (0.9312, 0.5719, 0.8616)

Calculated values
Energy relative to the lowest polymorph listed for this composition, eV/atom: 0.0000
Mass density, Mg/m³: 7.82
D(E_F), states/eV per cell: 9.543

Entry 5:
The following is a PBE-GGA calculation of a relaxed structure of BaSr4Ca5, from the Alexandria database.

abc: 4.6534 4.6534 22.4534
angles: 90.00 90.00 90.00
Fractional coordinates of all 10 atoms:
Ca (0.5000, 0.5000, 0.1066)
Ca (0.5000, 0.5000, 0.5000)
Ba (0.0000, 0.0000, 0.0000)
Ca (0.5000, 0.5000, 0.6975)
Sr (0.0000, 0.0000, 0.5987)
Ca (0.5000, 0.5000, 0.8934)
Sr (0.0000, 0.0000, 0.4013)
Ca (0.5000, 0.5000, 0.3025)
Sr (0.0000, 0.0000, 0.2041)
Sr (0.0000, 0.0000, 0.7959)

Calculated values
Energy relative to the lowest polymorph listed for this composition, eV/atom: 0.0039
Mass density, Mg/m³: 2.35
D(E_F), states/eV per cell: 14.062

Entry 6:
The following is a PBE-GGA calculation of a relaxed structure of Ce4PrP5, from the Alexandria database.

abc: 4.1128 5.8197 10.8856
angles: 105.50 100.89 90.00
Fractional coordinates of all 10 atoms:
P (0.0000, 0.5000, 0.0000)
Pr (0.0000, 0.0000, 0.0000)
P (0.6035, 0.1035, 0.2070)
P (0.1995, 0.6995, 0.3990)
P (0.3965, 0.8965, 0.7930)
P (0.8005, 0.3005, 0.6010)
Ce (0.5999, 0.5999, 0.1999)
Ce (0.7994, 0.7994, 0.5988)
Ce (0.4001, 0.4001, 0.8001)
Ce (0.2006, 0.2006, 0.4012)

Calculated values
Mass density, Mg/m³: 5.78
E, eV per atom: -7.0567
D(E_F), states/eV per cell: 18.233

Entry 7:
The following is a PBE-GGA calculation of a relaxed structure of PHCl, from the Alexandria database.

abc: 6.0590 7.2223 5.9967
angles: 90.00 90.00 114.80
Fractional coordinates of all 12 atoms:
Cl (0.8467, 0.6934, 0.4224)
P (0.9562, 0.9124, 0.1585)
H (0.2463, 0.9926, 0.2500)
P (0.4562, 0.9124, 0.3415)
P (0.5438, 0.0876, 0.6585)
H (0.2537, 0.0074, 0.7500)
Cl (0.6533, 0.3066, 0.9224)
Cl (0.3467, 0.6934, 0.0776)
Cl (0.1533, 0.3066, 0.5776)
H (0.7537, 0.0074, 0.7500)
P (0.0438, 0.0876, 0.8415)
H (0.7463, 0.9926, 0.2500)

Calculated values
Energy relative to the lowest polymorph listed for this composition, eV/atom: 0.4029
Mass density, Mg/m³: 1.88
D(E_F), states/eV per cell: 1.829

Entry 8:
The following is a PBE-GGA calculation of a relaxed structure of TbCuAg2, from the Alexandria database.

abc: 4.0789 5.3363 7.7612
angles: 90.00 90.00 112.45
Fractional coordinates of all 8 atoms:
Cu (0.7713, 0.5427, 0.7500)
Cu (0.2287, 0.4573, 0.2500)
Ag (0.3591, 0.7184, 0.5553)
Ag (0.6409, 0.2816, 0.4447)
Tb (0.0628, 0.1256, 0.7500)
Ag (0.3591, 0.7184, 0.9447)
Ag (0.6409, 0.2816, 0.0553)
Tb (0.9372, 0.8744, 0.2500)

Calculated values
Energy relative to the lowest polymorph listed for this composition, eV/atom: 0.0000
Mass density, Mg/m³: 9.32
D(E_F), states/eV per cell: 3.944

Entry 9:
The following is a PBE-GGA calculation of a relaxed structure of Sr3BRu, from the Alexandria database.

abc: 5.4491 5.4491 5.4491
angles: 90.00 90.00 90.00
Fractional coordinates of all 5 atoms:
Sr (0.0000, 0.5000, 0.0000)
B (0.0000, 0.0000, 0.0000)
Sr (0.5000, 0.0000, 0.0000)
Sr (0.0000, 0.0000, 0.5000)
Ru (0.5000, 0.5000, 0.5000)

Calculated values
Energy relative to the lowest polymorph listed for this composition, eV/atom: 0.0000
Mass density, Mg/m³: 3.85
D(E_F), states/eV per cell: 9.057

Entry 10:
The following is a PBE-GGA calculation of a relaxed structure of RbMg3Cd, from the Alexandria database.

abc: 7.1349 7.1349 7.1349
angles: 90.00 90.00 90.00
Fractional coordinates of all 5 atoms:
Mg (0.0000, 0.5000, 0.0000)
Mg (0.5000, 0.0000, 0.0000)
Rb (0.0000, 0.0000, 0.0000)
Cd (0.5000, 0.5000, 0.5000)
Mg (0.0000, 0.0000, 0.5000)

Calculated values
Energy relative to the lowest polymorph listed for this composition, eV/atom: 0.7634
Mass density, Mg/m³: 1.24
D(E_F), states/eV per cell: 4.393

Entry 11:
The following is a PBE-GGA calculation of a relaxed structure of KHg3Pt, from the Alexandria database.

abc: 24.0365 7.0081 8.6516
angles: 90.00 156.55 90.00
Fractional coordinates of all 20 atoms:
Hg (0.2901, 0.8391, 0.8694)
Hg (0.7901, 0.6609, 0.3694)
Hg (0.7099, 0.1609, 0.1306)
Hg (0.2099, 0.3391, 0.6306)
Hg (0.0823, 0.6182, 0.5900)
Hg (0.9292, 0.0161, 0.9878)
Pt (0.4534, 0.1686, 0.3262)
K (0.2338, 0.0800, 0.0667)
K (0.7338, 0.4200, 0.5667)
Pt (0.0466, 0.6686, 0.1738)
Hg (0.5708, 0.5161, 0.5122)
Hg (0.9177, 0.3818, 0.4100)
Pt (0.5466, 0.8314, 0.6738)
Pt (0.9534, 0.3314, 0.8262)
Hg (0.4177, 0.1182, 0.9100)
Hg (0.4292, 0.4839, 0.4878)
K (0.2662, 0.5800, 0.4333)
Hg (0.0708, 0.9839, 0.0122)
K (0.7662, 0.9200, 0.9333)
Hg (0.5823, 0.8818, 0.0900)

Calculated values
Energy relative to the lowest polymorph listed for this composition, eV/atom: 0.0884
Mass density, Mg/m³: 9.57
D(E_F), states/eV per cell: 4.090

Entry 12:
The following is a PBE-GGA calculation of a relaxed structure of LaTl2TcBr, from the Alexandria database.

abc: 5.7132 5.6219 5.7132
angles: 90.00 90.00 90.00
Fractional coordinates of all 5 atoms:
Tl (0.0000, 0.0000, 0.5000)
Br (0.0000, 0.0000, 0.0000)
La (0.0000, 0.5000, 0.0000)
Tl (0.5000, 0.0000, 0.0000)
Tc (0.5000, 0.5000, 0.5000)

Calculated values
Mass density, Mg/m³: 6.57
Uncorrected formation energy, kJ/mol of atoms: 78.3
D(E_F), states/eV per cell: 4.306